Density functional theory data (meta-GGA SCAN) for a crystal of CsSmMnSe3 relaxed with PBEsol.

Summary:
* volume: 367 Å³ per cell
* ΔE_f (raw): -1.671 eV/atom
* symmetry: No. 63

Cell lengths 8.1450, 8.1450, 11.0746 Å; angles 90.00, 90.00, 150.04 degrees
Atoms (fractional coordinates):
Cs 0.2414 0.7586 0.7500
Cs 0.7586 0.2414 0.2500
Sm 0.5000 0.5000 0.0000
Sm 0.5000 0.5000 0.5000
Mn 0.0372 0.9628 0.2500
Mn 0.9628 0.0372 0.7500
Se 0.1200 0.8800 0.0622
Se 0.1200 0.8800 0.4378
Se 0.4443 0.5557 0.2500
Se 0.5557 0.4443 0.7500
Se 0.8800 0.1200 0.5622
Se 0.8800 0.1200 0.9378


Density functional theory data (meta-GGA SCAN) for a crystal of MnSiPt4 relaxed with PBEsol.

Summary:
* Fermi-level density of states: 5.3 states/eV/f.u.
* volume: 99 Å³ per cell
* ΔE_f (raw): -0.042 eV/atom
* symmetry: No. 216

Cell lengths 5.1839, 5.1839, 5.1839 Å; angles 60.00, 60.00, 60.00 degrees
Atoms (fractional coordinates):
Mn 0.0000 0.0000 0.0000
Si 0.7500 0.7500 0.7500
Pt 0.3749 0.3749 0.3749
Pt 0.3749 0.3749 0.8753
Pt 0.3749 0.8753 0.3749
Pt 0.8753 0.3749 0.3749


Density functional theory data (meta-GGA SCAN) for a crystal of FeCuOs relaxed with PBEsol.

Summary:
* Fermi-level density of states: 2.8 states/eV/f.u.
* volume: 36 Å³ per cell
* E: -34.7741 eV/atom
* symmetry: No. 107

Cell lengths 5.4614, 5.4614, 5.4614 Å; angles 151.97, 151.97, 40.05 degrees
Atoms (fractional coordinates):
Fe 0.0000 0.0000 0.0000
Cu 0.3356 0.3356 0.0000
Os 0.6536 0.6536 0.0000


Density functional theory data (meta-GGA SCAN) for a crystal of MgTi2Ir2 relaxed with PBEsol.

Summary:
* Fermi-level density of states: 2.8 states/eV/f.u.
* volume: 161 Å³ per cell
* E: -36.7164 eV/atom
* symmetry: No. 127

Cell lengths 7.4240, 7.4240, 2.9196 Å; angles 90.00, 90.00, 90.00 degrees
Atoms (fractional coordinates):
Mg 0.0000 0.0000 0.0000
Mg 0.5000 0.5000 0.0000
Ti 0.1539 0.3461 0.5000
Ti 0.3461 0.8461 0.5000
Ti 0.6539 0.1539 0.5000
Ti 0.8461 0.6539 0.5000
Ir 0.1411 0.6411 0.0000
Ir 0.3589 0.1411 0.0000
Ir 0.6411 0.8589 0.0000
Ir 0.8589 0.3589 0.0000


Density functional theory data (meta-GGA SCAN) for a crystal of Ag2PtAu relaxed with PBEsol.

Summary:
* Fermi-level density of states: 1.2 states/eV/f.u.
* volume: 65 Å³ per cell
* polymorph energy (0 for the lowest one): 0.26 eV/f.u.
* symmetry: No. 35

Cell lengths 2.7742, 2.7742, 9.6009 Å; angles 90.00, 90.00, 118.45 degrees
Atoms (fractional coordinates):
Ag 0.0000 0.0000 0.0000
Ag 0.5000 0.5000 0.2494
Pt 0.0000 0.0000 0.4958
Au 0.5000 0.5000 0.7473


Density functional theory data (meta-GGA SCAN) for a crystal of La2MnW relaxed with PBEsol.

Summary:
* Fermi-level density of states: 3.4 states/eV/f.u.
* volume: 87 Å³ per cell
* polymorph energy (0 for the lowest one): 0.00 eV/f.u.
* symmetry: No. 99

Cell lengths 3.1130, 3.1130, 9.0231 Å; angles 90.00, 90.00, 90.00 degrees
Atoms (fractional coordinates):
La 0.0000 0.0000 0.0000
La 0.5000 0.5000 0.3806
Mn 0.0000 0.0000 0.6144
W 0.5000 0.5000 0.7459


no.,M_tot (Bohr magnetons per cell)
1,10.00
2,4.77
3,2.03
4,0.00
5,0.00
6,0.00